# 1
! MoOs2C2 (GGA-PBE, relaxed); values from VASP
! * total DFT energy (no corrections): -87.46 eV per cell
! * M_tot: 0.00 μB/f.u.
! * symmetry: No. 127
! * energy of formation: 1.602 eV per atom
&SYSTEM
  ibrav = 0, nat = 10, ntyp = 3
/
ATOMIC_SPECIES
Os 190.23 Os.upf
C 12.01 C.upf
Mo 95.94 Mo.upf
CELL_PARAMETERS angstrom
-0.0937 -6.4711 -1.2377
4.4839 -0.9695 4.7298
-2.0187 -0.3241 1.8473
ATOMIC_POSITIONS angstrom
Os 2.8183 -6.1506 2.0007
C 2.0319 -2.0014 3.9243
Os 0.5957 -4.3247 -0.1077
C -0.2228 -2.3960 1.3912
C 0.3396 -5.7633 1.4151
Mo 0.0000 0.0000 0.0000
Os 3.7944 -3.1160 3.5998
Mo 2.1951 -3.7203 1.7461
C 2.5943 -5.3687 3.9482
Os 1.5719 -1.2900 1.4914

=====

# 2
! MoOs2C2 (GGA-PBE, relaxed); values from VASP
! * total DFT energy (no corrections): -47.18 eV per cell
! * M_tot: 0.00 μB/f.u.
! * symmetry: No. 139
! * energy of formation: 0.912 eV per atom
&SYSTEM
  ibrav = 0, nat = 5, ntyp = 3
/
ATOMIC_SPECIES
Mo 95.94 Mo.upf
Os 190.23 Os.upf
C 12.01 C.upf
CELL_PARAMETERS angstrom
-1.2736 -0.0917 3.4875
2.8051 -2.2342 0.9656
3.1768 2.2838 3.1977
ATOMIC_POSITIONS angstrom
Mo 0.0000 0.0000 0.0000
Os 3.2365 0.1113 5.1398
C 1.3345 0.5145 4.4559
Os 1.4719 -0.1535 2.5110
C 3.3739 -0.5567 3.1949

=====

# 3
! MoOs2C (GGA-PBE, relaxed); values from VASP
! * total DFT energy (no corrections): -78.23 eV per cell
! * M_tot: 0.00 μB/f.u.
! * symmetry: No. 122
! * energy of formation: 0.849 eV per atom
&SYSTEM
  ibrav = 0, nat = 8, ntyp = 3
/
ATOMIC_SPECIES
C 12.01 C.upf
Mo 95.94 Mo.upf
Os 190.23 Os.upf
CELL_PARAMETERS angstrom
5.1360 0.0000 0.0000
0.0000 5.1360 0.0000
2.5680 2.5680 4.9677
ATOMIC_POSITIONS angstrom
C 2.5680 2.5680 0.0000
Mo 0.0000 0.0000 0.0000
Os 6.4200 6.0053 3.7257
Os 3.8520 4.2667 3.7257
Os 1.6987 3.8520 1.2419
C 2.5680 5.1360 2.4838
Mo 5.1360 2.5680 2.4838
Os 3.4373 1.2840 1.2419

=====

# 4
! Mo2OsC (GGA-PBE, relaxed); values from VASP
! * total DFT energy (no corrections): -41.98 eV per cell
! * M_tot: 0.00 μB/f.u.
! * symmetry: No. 160
! * energy of formation: 0.033 eV per atom
&SYSTEM
  ibrav = 0, nat = 4, ntyp = 3
/
ATOMIC_SPECIES
Mo 95.94 Mo.upf
Os 190.23 Os.upf
C 12.01 C.upf
CELL_PARAMETERS angstrom
-0.9285 -2.7790 -0.3961
1.4555 -2.2398 1.2675
-3.8296 -1.1277 5.8533
ATOMIC_POSITIONS angstrom
Mo -3.0963 -1.2276 4.8348
Os -1.6629 -3.0717 3.3785
Mo -0.5371 -1.5759 1.2804
C 0.3424 -3.3447 0.5934

=====

# 5
! Mo2OsC2 (GGA-PBE, relaxed); values from VASP
! * total DFT energy (no corrections): -90.41 eV per cell
! * M_tot: 0.00 μB/f.u.
! * symmetry: No. 127
! * energy of formation: 1.227 eV per atom
&SYSTEM
  ibrav = 0, nat = 10, ntyp = 3
/
ATOMIC_SPECIES
C 12.01 C.upf
Mo 95.94 Mo.upf
Os 190.23 Os.upf
CELL_PARAMETERS angstrom
-2.4732 1.9566 -5.7290
-5.9976 -1.6336 2.0313
-0.3482 2.5467 1.0201
ATOMIC_POSITIONS angstrom
C -4.4250 2.3666 -3.6703
Mo -2.4497 1.0246 -3.3940
Mo -2.4941 -0.3026 -0.0957
C -4.3939 0.5031 0.9926
C -1.9187 1.7341 -1.2358
Mo -6.0211 -0.7015 -0.3037
Os 0.0000 0.0000 0.0000
Mo -5.9767 0.6257 -3.6020
Os -4.2354 0.1615 -1.8489
C -6.9002 1.1356 -1.4418

=====

# 6
! Mo2OsC (GGA-PBE, relaxed); values from VASP
! * total DFT energy (no corrections): -41.77 eV per cell
! * M_tot: 0.00 μB/f.u.
! * symmetry: No. 166
! * energy of formation: 0.087 eV per atom
&SYSTEM
  ibrav = 0, nat = 4, ntyp = 3
/
ATOMIC_SPECIES
Os 190.23 Os.upf
Mo 95.94 Mo.upf
C 12.01 C.upf
CELL_PARAMETERS angstrom
2.9854 0.0000 0.0000
1.4927 2.5854 0.0000
1.4927 0.8618 6.8103
ATOMIC_POSITIONS angstrom
Os 2.9854 1.7236 3.4052
Mo 4.4781 2.5854 5.6162
C 0.0000 0.0000 0.0000
Mo 1.4927 0.8618 1.1941